Entry 1:
# PBE Li2CeBi, optimized geometry
data_Li2CeBi
_chemical_formula_sum 'Li8 Ce4 Bi4'
_cell_length_a 7.045
_cell_length_b 7.045
_cell_length_c 7.045
_cell_angle_alpha 90.00
_cell_angle_beta 90.00
_cell_angle_gamma 90.00
_space_group_name_H-M_alt 'F m -3 m'
_space_group_IT_number 225
_space_group_name_Hall '-F 4 2 3'
loop_
_atom_site_label
_atom_site_type_symbol
_atom_site_fract_x
_atom_site_fract_y
_atom_site_fract_z
_atom_site_occupancy
Li1 Li 0.250 0.250 0.250 1
Ce1 Ce 0.000 0.000 0.000 1
Bi1 Bi 0.000 0.000 0.500 1
# **Crystal system**: cubic
# **N(E_F)**: 7.29 states/eV/f.u.
# **Distance to the lowest polymorph of the same formula**: 39 meV/atom



Entry 2:
# PBE AsIrO3, optimized geometry
data_AsIrO3
_chemical_formula_sum 'As1 Ir1 O3'
_cell_length_a 3.905
_cell_length_b 3.905
_cell_length_c 3.905
_cell_angle_alpha 90.00
_cell_angle_beta 90.00
_cell_angle_gamma 90.00
_space_group_name_H-M_alt 'P m -3 m'
_space_group_IT_number 221
_space_group_name_Hall '-P 4 2 3'
loop_
_atom_site_label
_atom_site_type_symbol
_atom_site_fract_x
_atom_site_fract_y
_atom_site_fract_z
_atom_site_occupancy
As1 As 0.000 0.000 0.000 1
Ir1 Ir 0.500 0.500 0.500 1
O1 O 0.000 0.500 0.500 1
# **Crystal system**: cubic
# **N(E_F)**: 3.22 states/eV/f.u.
# **Formation energy (no corrections)**: 0.015 eV/atom



Entry 3:
# PBE RbH4Rh, optimized geometry
data_RbH4Rh
_chemical_formula_sum 'Rb2 H8 Rh2'
_cell_length_a 4.826
_cell_length_b 6.267
_cell_length_c 6.277
_cell_angle_alpha 112.41
_cell_angle_beta 98.50
_cell_angle_gamma 99.68
_space_group_name_H-M_alt 'P -1'
_space_group_IT_number 2
_space_group_name_Hall '-P 1'
loop_
_atom_site_label
_atom_site_type_symbol
_atom_site_fract_x
_atom_site_fract_y
_atom_site_fract_z
_atom_site_occupancy
Rb1 Rb 0.177 0.183 0.351 1
H1 H 0.007 0.700 0.026 1
H2 H 0.207 0.677 0.346 1
H3 H 0.430 0.521 0.818 1
H4 H 0.473 0.166 0.792 1
Rh1 Rh 0.290 0.589 0.095 1
# **Crystal system**: triclinic
# **Distance to the lowest polymorph of the same formula**: 0 meV/atom



Entry 4:
# PBE Ce3PrDy2Te6, optimized geometry
data_Ce3PrDy2Te6
_chemical_formula_sum 'Ce6 Pr2 Dy4 Te12'
_cell_length_a 7.672
_cell_length_b 13.299
_cell_length_c 7.771
_cell_angle_alpha 90.00
_cell_angle_beta 109.23
_cell_angle_gamma 90.00
_space_group_name_H-M_alt 'C 1 2/m 1'
_space_group_IT_number 12
_space_group_name_Hall '-C 2y'
loop_
_atom_site_label
_atom_site_type_symbol
_atom_site_fract_x
_atom_site_fract_y
_atom_site_fract_z
_atom_site_occupancy
Ce1 Ce 0.000 0.000 0.000 1
Ce2 Ce 0.000 0.339 0.000 1
Pr1 Pr 0.000 0.500 0.500 1
Dy1 Dy 0.000 0.168 0.500 1
Te1 Te 0.236 0.000 0.739 1
Te2 Te 0.247 0.171 0.254 1
# **Crystal system**: monoclinic
# **N(E_F)**: 23.20 states/eV/f.u.
# **Formation energy (no corrections)**: -1.359 eV/atom



Entry 5:
# PBE NaLiSi3, optimized geometry
data_NaLiSi3
_chemical_formula_sum 'Na1 Li1 Si3'
_cell_length_a 4.997
_cell_length_b 4.997
_cell_length_c 4.997
_cell_angle_alpha 90.00
_cell_angle_beta 90.00
_cell_angle_gamma 90.00
_space_group_name_H-M_alt 'P m -3 m'
_space_group_IT_number 221
_space_group_name_Hall '-P 4 2 3'
loop_
_atom_site_label
_atom_site_type_symbol
_atom_site_fract_x
_atom_site_fract_y
_atom_site_fract_z
_atom_site_occupancy
Na1 Na 0.000 0.000 0.000 1
Li1 Li 0.500 0.500 0.500 1
Si1 Si 0.000 0.000 0.500 1
# **Crystal system**: cubic
# **N(E_F)**: 3.90 states/eV/f.u.
# **Distance to the lowest polymorph of the same formula**: 633 meV/atom
# **Formation energy (no corrections)**: 1.272 eV/atom



Entry 6:
# PBE Ba2TaRu, optimized geometry
data_Ba2TaRu
_chemical_formula_sum 'Ba2 Ta1 Ru1'
_cell_length_a 5.895
_cell_length_b 5.895
_cell_length_c 3.271
_cell_angle_alpha 90.00
_cell_angle_beta 90.00
_cell_angle_gamma 90.00
_space_group_name_H-M_alt 'P 4/m m m'
_space_group_IT_number 123
_space_group_name_Hall '-P 4 2'
loop_
_atom_site_label
_atom_site_type_symbol
_atom_site_fract_x
_atom_site_fract_y
_atom_site_fract_z
_atom_site_occupancy
Ba1 Ba 0.000 0.500 0.000 1
Ta1 Ta 0.000 0.000 0.500 1
Ru1 Ru 0.500 0.500 0.500 1
# **Crystal system**: tetragonal
# **N(E_F)**: 5.13 states/eV/f.u.
# **Distance to the lowest polymorph of the same formula**: 1139 meV/atom



Entry 7:
# PBE KMo2Pt, optimized geometry
data_KMo2Pt
_chemical_formula_sum 'K1 Mo2 Pt1'
_cell_length_a 2.714
_cell_length_b 3.955
_cell_length_c 8.180
_cell_angle_alpha 90.00
_cell_angle_beta 90.00
_cell_angle_gamma 90.00
_space_group_name_H-M_alt 'P m m 2'
_space_group_IT_number 25
_space_group_name_Hall 'P 2 -2'
loop_
_atom_site_label
_atom_site_type_symbol
_atom_site_fract_x
_atom_site_fract_y
_atom_site_fract_z
_atom_site_occupancy
K1 K 0.000 0.000 0.000 1
Mo1 Mo 0.000 0.000 0.528 1
Mo2 Mo 0.500 0.500 0.362 1
Pt1 Pt 0.500 0.500 0.696 1
# **Crystal system**: orthorhombic
# **N(E_F)**: 3.80 states/eV/f.u.
# **Distance to the lowest polymorph of the same formula**: 130 meV/atom



Entry 8:
# PBE RbSr6Ca2, optimized geometry
data_RbSr6Ca2
_chemical_formula_sum 'Rb1 Sr6 Ca2'
_cell_length_a 4.2035
_cell_length_b 4.2035
_cell_length_c 32.1437
_cell_angle_alpha 90.00
_cell_angle_beta 90.00
_cell_angle_gamma 120.00
_space_group_name_H-M_alt 'P -6 m 2'
_space_group_IT_number 187
_space_group_name_Hall 'P -6 2'
loop_
_atom_site_label
_atom_site_type_symbol
_atom_site_fract_x
_atom_site_fract_y
_atom_site_fract_z
_atom_site_occupancy
Rb1 Rb 0.0000 0.0000 0.0000 1
Sr1 Sr 0.0000 0.0000 0.2321 1
Sr2 Sr 0.0000 0.0000 0.4381 1
Sr3 Sr 0.6667 0.3333 0.1237 1
Ca1 Ca 0.6667 0.3333 0.3358 1
# **Crystal system**: hexagonal
# **Electronic total energy**: -14.4 eV per cell
# **N(E_F)**: 9.37 states/eV/f.u.



Entry 9:
# PBE Sr5In2O, optimized geometry
data_Sr5In2O
_chemical_formula_sum 'Sr20 In8 O4'
_cell_length_a 9.426
_cell_length_b 7.439
_cell_length_c 15.540
_cell_angle_alpha 90.00
_cell_angle_beta 90.00
_cell_angle_gamma 90.00
_space_group_name_H-M_alt 'P n m a'
_space_group_IT_number 62
_space_group_name_Hall '-P 2ac 2n'
loop_
_atom_site_label
_atom_site_type_symbol
_atom_site_fract_x
_atom_site_fract_y
_atom_site_fract_z
_atom_site_occupancy
Sr1 Sr 0.000 0.000 0.000 1
Sr2 Sr 0.026 0.250 0.202 1
Sr3 Sr 0.158 0.503 0.607 1
Sr4 Sr 0.215 0.750 0.380 1
In1 In 0.037 0.750 0.198 1
In2 In 0.178 0.250 0.413 1
O1 O 0.169 0.250 0.067 1
# **Crystal system**: orthorhombic
# **N(E_F)**: 8.17 states/eV/f.u.
# **Formation energy (no corrections)**: -0.834 eV/atom



Entry 10:
# PBE Na2LiUTe4, optimized geometry
data_Na2LiUTe4
_chemical_formula_sum 'Na2 Li1 U1 Te4'
_cell_length_a 7.470
_cell_length_b 4.440
_cell_length_c 7.809
_cell_angle_alpha 90.00
_cell_angle_beta 108.24
_cell_angle_gamma 90.00
_space_group_name_H-M_alt 'P 1 2/m 1'
_space_group_IT_number 10
_space_group_name_Hall '-P 2y'
loop_
_atom_site_label
_atom_site_type_symbol
_atom_site_fract_x
_atom_site_fract_y
_atom_site_fract_z
_atom_site_occupancy
Na1 Na 0.000 0.000 0.000 1
Na2 Na 0.500 0.500 0.000 1
Li1 Li 0.000 0.500 0.500 1
U1 U 0.500 0.000 0.500 1
Te1 Te 0.250 0.000 0.722 1
Te2 Te 0.260 0.500 0.275 1
# **Crystal system**: monoclinic
# **N(E_F)**: 5.36 states/eV/f.u.
# **Formation energy (no corrections)**: -0.792 eV/atom



Entry 11:
# PBE CePrCd4, optimized geometry
data_CePrCd4
_chemical_formula_sum 'Ce4 Pr4 Cd16'
_cell_length_a 8.487
_cell_length_b 8.487
_cell_length_c 8.487
_cell_angle_alpha 90.00
_cell_angle_beta 90.00
_cell_angle_gamma 90.00
_space_group_name_H-M_alt 'F -4 3 m'
_space_group_IT_number 216
_space_group_name_Hall 'F -4 2 3'
loop_
_atom_site_label
_atom_site_type_symbol
_atom_site_fract_x
_atom_site_fract_y
_atom_site_fract_z
_atom_site_occupancy
Ce1 Ce 0.000 0.000 0.000 1
Pr1 Pr 0.250 0.250 0.250 1
Cd1 Cd 0.125 0.125 0.625 1
# **Crystal system**: cubic
# **N(E_F)**: 8.71 states/eV/f.u.
# **Distance to the lowest polymorph of the same formula**: 49 meV/atom



Entry 12:
# PBE InSbW4, optimized geometry
data_InSbW4
_chemical_formula_sum 'In4 Sb4 W16'
_cell_length_a 7.673
_cell_length_b 7.673
_cell_length_c 7.673
_cell_angle_alpha 90.00
_cell_angle_beta 90.00
_cell_angle_gamma 90.00
_space_group_name_H-M_alt 'F -4 3 m'
_space_group_IT_number 216
_space_group_name_Hall 'F -4 2 3'
loop_
_atom_site_label
_atom_site_type_symbol
_atom_site_fract_x
_atom_site_fract_y
_atom_site_fract_z
_atom_site_occupancy
In1 In 0.000 0.000 0.000 1
Sb1 Sb 0.250 0.250 0.750 1
W1 W 0.126 0.126 0.374 1
# **Crystal system**: cubic
# **N(E_F)**: 6.01 states/eV/f.u.
# **Formation energy (no corrections)**: 0.685 eV/atom



What ρ values result from the calculations? In sequence: 6.90 8.79 3.80 7.33 1.52 8.13 8.06 2.33 4.17 5.41 7.94 14.29 g/cm³.